A plane-wave DFT calculation with PBE+U was carried out for crystalline Al2ZnFeO at its relaxed geometry.

The space group is P4/mmm (No. 123) and the conventional cell measures 3.896, 3.896 and 4.665 Å, with angles of 90.00, 90.00 and 90.00 degrees. The distinct sites, in fractional coordinates, are Al at (0.000, 0.500, 0.000), Zn at (0.000, 0.000, 0.500), Fe at (0.500, 0.500, 0.500) and O at (0.000, 0.000, 0.000).

The volume comes out at 14.17 Å³/atom. The total energy is -20.003 eV/cell.